1.
DFT (GGA-PBE) results for an optimized crystal structure of NbAgPO.

Lattice parameters (Å, degrees): 3.956 6.628 5.156 90.00 90.00 90.00
Sites, in units of the cell vectors:
1 Nb 0.500 0.844 0.929
2 P 0.500 0.214 0.927
3 O 0.000 0.819 0.934
4 Ag 0.000 0.432 0.964
5 Ag 0.000 0.568 0.464
6 P 0.500 0.786 0.427
7 O 0.000 0.181 0.434
8 Nb 0.500 0.156 0.429

Raw total energy ... -52.91 eV/cell
Space-group type ... Pmc2_1 (26)
Crystal system ... orthorhombic
Relative energy among the computed polymorphs ... 57 meV per atom

---

2.
DFT (GGA-PBE) results for an optimized crystal structure of RbLaZnS3.

Lattice parameters (Å, degrees): 14.983 4.175 11.358 90.00 90.00 90.00
Sites, in units of the cell vectors:
1 S 0.094 0.750 0.070
2 S 0.406 0.250 0.570
3 La 0.982 0.250 0.158
4 S 0.594 0.750 0.430
5 Zn 0.984 0.750 0.404
6 S 0.572 0.250 0.102
7 Zn 0.016 0.250 0.596
8 S 0.906 0.250 0.930
9 S 0.874 0.750 0.262
10 Zn 0.484 0.750 0.096
11 S 0.374 0.750 0.238
12 Rb 0.733 0.750 0.963
13 La 0.482 0.250 0.342
14 La 0.018 0.750 0.842
15 S 0.428 0.750 0.898
16 Rb 0.233 0.750 0.537
17 Rb 0.267 0.250 0.037
18 S 0.072 0.250 0.398
19 S 0.626 0.250 0.762
20 S 0.126 0.250 0.738
21 S 0.928 0.750 0.602
22 Rb 0.767 0.250 0.463
23 La 0.518 0.750 0.658
24 Zn 0.516 0.250 0.904

Raw total energy ... -114.16 eV/cell
Space-group type ... Pnma (62)
Crystal system ... orthorhombic